w.
DFT (PBE) results for a relaxed structure of HfPaPd.

The value obtained for the volume is 63.38 Å³ per cell.

Cell lengths 3.1028, 4.8567, 4.8567 Å; angles 120.00, 90.00, 90.00 degrees
Last column: nearest neighbours and their distance in Å.
Fractional positions:
Pd 0.9712 0.0000 0.0000  3 Pa 2.90, 3 Hf 2.98, 2 Pd 3.10
Hf 0.2987 0.3333 0.6667  3 Pd 2.98, 2 Hf 3.10, 6 Pa 3.11-3.31
Pa 0.7301 0.6667 0.3333  3 Pd 2.90, 2 Pa 3.10, 3 Hf 3.11

---

x.
DFT (PBE) results for a relaxed structure of HfPaPd.

The value obtained for the volume is 124.72 Å³ per cell.

Cell lengths 3.3564, 3.3564, 11.0707 Å; angles 90.00, 90.00, 90.00 degrees
Last column: nearest neighbours and their distance in Å.
Fractional positions:
Hf 0.5000 0.0000 0.7981  5 Pd 2.76-3.07
Pa 0.5000 0.0000 0.3983  4 Hf 3.22, 8 Pa 3.27-3.36, 1 Pd 3.57
Pd 0.5000 0.0000 0.0754  5 Hf 2.76-3.07, 4 Pd 2.90
Pd 0.0000 0.5000 0.9246  5 Hf 2.76-3.07, 4 Pd 2.90
Pa 0.0000 0.5000 0.6017  4 Hf 3.22, 8 Pa 3.27-3.36, 1 Pd 3.57
Hf 0.0000 0.5000 0.2019  5 Pd 2.76-3.07

---

Least stable = w

---

w.
DFT (PBE) results for a relaxed structure of Pu2HfPa.

The value obtained for the volume is 94.36 Å³ per cell.

Cell lengths 5.1102, 5.1102, 5.1102 Å; angles 60.00, 60.00, 60.00 degrees
Last column: nearest neighbours and their distance in Å.
Fractional positions:
Pa 0.0000 0.0000 0.0000  8 Pu 3.13
Pu 0.2500 0.2500 0.2500  4 Hf 3.13, 4 Pa 3.13
Pu 0.7500 0.7500 0.7500  4 Pa 3.13, 4 Hf 3.13
Hf 0.5000 0.5000 0.5000  8 Pu 3.13

---

x.
DFT (PBE) results for a relaxed structure of Pu2HfPa.

The value obtained for the volume is 186.09 Å³ per cell.

Cell lengths 6.0861, 5.7642, 5.7642 Å; angles 66.97, 89.45, 89.45 degrees
Last column: nearest neighbours and their distance in Å.
Fractional positions:
Pu 0.3670 0.5775 0.1546  2 Pu 2.69-2.79, 1 Pa 2.83
Pu 0.3670 0.1546 0.5775  2 Pu 2.69-2.79, 1 Pa 2.83
Pu 0.6330 0.4225 0.8454  2 Pu 2.69-2.79, 1 Pa 2.83
Pa 0.2101 0.0682 0.0682  2 Pu 2.83, 1 Pa 2.89
Pu 0.6330 0.8454 0.4225  2 Pu 2.69-2.79, 1 Pa 2.83
Pa 0.7899 0.9318 0.9318  2 Pu 2.83, 1 Pa 2.89
Hf 0.8977 0.3503 0.3503  1 Hf 3.15, 8 Pu 3.16-3.50, 3 Pa 3.29-3.34
Hf 0.1023 0.6497 0.6497  1 Hf 3.15, 8 Pu 3.16-3.50, 3 Pa 3.29-3.34

---

y.
DFT (PBE) results for a relaxed structure of Pu2HfPa.

The value obtained for the volume is 96.09 Å³ per cell.

Cell lengths 4.4663, 4.6383, 4.6383 Å; angles 90.00, 90.00, 90.00 degrees
Last column: nearest neighbours and their distance in Å.
Fractional positions:
Hf 0.5000 0.5000 0.5000  8 Pu 3.22, 4 Pa 3.28
Pa 0.5000 0.0000 0.0000  8 Pu 3.22, 4 Hf 3.28
Pu 0.0000 0.5000 0.0000  4 Hf 3.22, 4 Pa 3.22, 4 Pu 3.28
Pu 0.0000 0.0000 0.5000  4 Hf 3.22, 4 Pa 3.22, 4 Pu 3.28

---

z.
DFT (PBE) results for a relaxed structure of Pu2HfPa.

The value obtained for the volume is 94.29 Å³ per cell.

Cell lengths 3.8118, 3.8118, 6.4894 Å; angles 90.00, 90.00, 90.00 degrees
Last column: nearest neighbours and their distance in Å.
Fractional positions:
Pu 0.0000 0.0000 0.2532  4 Pa 3.14, 4 Hf 3.16, 2 Pu 3.20-3.29
Hf 0.5000 0.5000 0.0000  8 Pu 3.16, 2 Pa 3.24
Pu 0.0000 0.0000 0.7468  4 Pa 3.14, 4 Hf 3.16, 2 Pu 3.20-3.29
Pa 0.5000 0.5000 0.5000  8 Pu 3.14, 2 Hf 3.24

---

Least stable = w

---

w.
DFT (PBE) results for a relaxed structure of PuHf2Pa.

The value obtained for the volume is 96.23 Å³ per cell.

Cell lengths 3.2334, 3.2334, 10.7907 Å; angles 81.38, 81.38, 60.00 degrees
Last column: nearest neighbours and their distance in Å.
Fractional positions:
Pu 0.5002 0.5002 0.4994  6 Pu 3.23, 6 Hf 3.25-3.26
Hf 0.0831 0.0831 0.7508  6 Hf 3.23, 3 Pa 3.24, 3 Pu 3.26
Hf 0.2503 0.2503 0.2492  6 Hf 3.23, 3 Pa 3.24, 3 Pu 3.25
Pa 0.6665 0.6665 0.0006  6 Pa 3.23, 6 Hf 3.24

---

x.
DFT (PBE) results for a relaxed structure of PuHf2Pa.

The value obtained for the volume is 95.29 Å³ per cell.

Cell lengths 5.1269, 5.1269, 5.1269 Å; angles 60.00, 60.00, 60.00 degrees
Last column: nearest neighbours and their distance in Å.
Fractional positions:
Hf 0.7500 0.7500 0.7500  4 Pa 3.14, 4 Pu 3.14
Pa 0.0000 0.0000 0.0000  8 Hf 3.14
Pu 0.5000 0.5000 0.5000  8 Hf 3.14
Hf 0.2500 0.2500 0.2500  4 Pa 3.14, 4 Pu 3.14

---

y.
DFT (PBE) results for a relaxed structure of PuHf2Pa.

The value obtained for the volume is 95.03 Å³ per cell.

Cell lengths 3.1362, 3.1362, 9.6623 Å; angles 90.00, 90.00, 90.00 degrees
Last column: nearest neighbours and their distance in Å.
Fractional positions:
Hf 0.0000 0.0000 0.7524  4 Hf 3.14, 4 Pu 3.26, 4 Pa 3.30
Pu 0.5000 0.5000 0.0000  4 Pu 3.14, 8 Hf 3.26
Hf 0.0000 0.0000 0.2476  4 Hf 3.14, 4 Pu 3.26, 4 Pa 3.30
Pa 0.5000 0.5000 0.5000  4 Pa 3.14, 8 Hf 3.30

---

Least stable = x